## Sm5CdIn2 (PBE-GGA)

Data for crystalline Sm5CdIn2 at its relaxed geometry.

Calculated values
The raw total energy is -127.5 eV per cell. The calculation puts the density of states at the Fermi level at 34.73 states/eV/cell.

Cell lengths 4.714, 11.227, 17.839 Å; angles 90.00, 90.00, 90.00 degrees
Space group Cmcm (No. 63)
Inequivalent atoms, fractional coordinates:
Sm (0.000, 0.043, 0.099) (multiplicity 8)
Sm (0.000, 0.341, 0.041) (multiplicity 8)
Sm (0.000, 0.453, 0.250) (multiplicity 4)
Cd (0.000, 0.169, 0.250) (multiplicity 4)
In (0.000, 0.246, 0.655) (multiplicity 8)